First-principles (PBE) data for a relaxed CoH2CCl crystal, as listed in Alexandria.

abc: 3.2120 3.2120 4.6196
angles: 90.00 90.00 90.00
Fractional coordinates of all 5 atoms:
Co 0.0000 0.0000 0.0000
H 0.0000 0.5000 0.0000
H 0.5000 0.0000 0.0000
C 0.5000 0.5000 0.5000
Cl 0.0000 0.0000 0.5000

Computed properties:
The value obtained for the energy is -3.53 eV per atom. The crystal system is tetragonal.